[1]
ZnAg2Mo | PBE | optimized geometry

Cell lengths 9.6600, 9.6600, 9.6600 Å; angles 16.79, 16.79, 16.79 degrees
Closest atoms and distances in Å follow each position.
Fractional coordinates of all 4 atoms:
Ag (0.0024, 0.0024, 0.0024)  6 Ag 2.82, 3 Zn 2.83, 3 Mo 2.94
Ag (0.4976, 0.4976, 0.4976)  6 Ag 2.82, 3 Zn 2.83, 3 Mo 2.94
Zn (0.7500, 0.7500, 0.7500)  6 Zn 2.82, 6 Ag 2.83
Mo (0.2500, 0.2500, 0.2500)  6 Mo 2.82, 6 Ag 2.94

Values from the calculation:
Its calculated total energy is -4.18 eV/atom. The crystal system is trigonal.



[2]
Tl3Hg2Te2 | PBE | optimized geometry

Cell lengths 5.3426, 9.3451, 6.1157 Å; angles 93.29, 64.46, 73.52 degrees
Closest atoms and distances in Å follow each position.
Fractional coordinates of all 7 atoms:
Te (0.8286, 0.2655, 0.0814)  2 Hg 3.04-3.36, 1 Tl 3.31
Te (0.1714, 0.7345, 0.9186)  2 Hg 3.04-3.36, 1 Tl 3.31
Hg (0.8150, 0.9791, 0.3904)  2 Hg 2.92-2.93, 1 Te 3.04
Hg (0.1850, 0.0209, 0.6096)  2 Hg 2.92-2.93, 1 Te 3.04
Tl (0.5000, 0.0000, 0.0000)  6 Hg 3.33-3.47, 4 Te 3.54-3.55
Tl (0.4463, 0.3583, 0.7492)  4 Te 3.31-3.61, 1 Hg 3.56
Tl (0.5537, 0.6417, 0.2508)  4 Te 3.31-3.61, 1 Hg 3.56

Values from the calculation:
Its calculated total energy is -2.16 eV/atom. The crystal system is triclinic. The calculation puts the uncorrected formation energy at -0.16 eV per atom.



[3]
TbTcCl | PBE | optimized geometry

Cell lengths 4.0487, 4.0487, 11.4755 Å; angles 79.84, 79.84, 60.00 degrees
Closest atoms and distances in Å follow each position.
Fractional coordinates of all 6 atoms:
Tc (0.1607, 0.1607, 0.5179)  3 Tc 2.37
Tc (0.8393, 0.8393, 0.4821)  3 Tc 2.37
Cl (0.2810, 0.2810, 0.1570)  3 Tb 2.86
Cl (0.7190, 0.7190, 0.8430)  3 Tb 2.86
Tb (0.5654, 0.5654, 0.3038)  3 Cl 2.86, 3 Tc 3.08
Tb (0.4346, 0.4346, 0.6962)  3 Cl 2.86, 3 Tc 3.08

Values from the calculation:
Its calculated total energy is -6.68 eV/atom. The value obtained for the energy above the lowest structure with this stoichiometry is 0.000 eV per formula unit. The crystal system is trigonal. The calculation puts the uncorrected formation energy at -1.07 eV per atom.



[4]
Al2HgPtC | PBE | optimized geometry

Cell lengths 5.0857, 3.8055, 5.0857 Å; angles 90.00, 90.00, 90.00 degrees
Closest atoms and distances in Å follow each position.
Fractional coordinates of all 5 atoms:
Hg (0.5000, 0.5000, 0.5000)  8 Al 3.18
Al (0.5000, 0.0000, 0.0000)  2 Pt 2.54
Al (0.0000, 0.0000, 0.5000)  2 Pt 2.54
C (0.0000, 0.5000, 0.0000)  2 Pt 1.90
Pt (0.0000, 0.0000, 0.0000)  2 C 1.90

Values from the calculation:
Its calculated total energy is -4.09 eV/atom. The crystal system is tetragonal.



[5]
YRu | PBE | optimized geometry

Cell lengths 5.9310, 5.9310, 5.9310 Å; angles 147.20, 133.80, 57.81 degrees
Closest atoms and distances in Å follow each position.
Fractional coordinates of all 4 atoms:
Y (0.8626, 0.6126, 0.7500)  6 Ru 2.89-3.16
Y (0.1374, 0.3874, 0.2500)  6 Ru 2.89-3.16
Ru (0.6047, 0.8547, 0.2500)  2 Ru 2.75, 4 Y 2.89
Ru (0.3953, 0.1453, 0.7500)  2 Ru 2.75, 4 Y 2.89

Values from the calculation:
Its calculated total energy is -8.03 eV/atom. The crystal system is orthorhombic.



[6]
CaIn2BiPd | PBE | optimized geometry

Cell lengths 5.7811, 4.9579, 5.7811 Å; angles 90.00, 90.00, 90.00 degrees
Closest atoms and distances in Å follow each position.
Fractional coordinates of all 5 atoms:
Bi (0.5000, 0.5000, 0.5000)  8 In 3.81, 4 Pd 4.09
In (0.0000, 0.0000, 0.5000)  2 Ca 2.89
In (0.5000, 0.0000, 0.0000)  2 Ca 2.89
Pd (0.0000, 0.5000, 0.0000)  2 Ca 2.48
Ca (0.0000, 0.0000, 0.0000)  2 Pd 2.48

Values from the calculation:
Its calculated total energy is -2.78 eV/atom. The value obtained for the energy above the lowest structure with this stoichiometry is 4.429 eV per formula unit. The crystal system is tetragonal.



[7]
Co2BiN | PBE | optimized geometry

Cell lengths 4.7836, 4.7836, 6.2690 Å; angles 67.57, 67.57, 90.00 degrees
Closest atoms and distances in Å follow each position.
Fractional coordinates of all 8 atoms:
Bi (0.0000, 0.0000, 0.0000)  4 Co 2.65
Bi (0.7500, 0.2500, 0.5000)  4 Co 2.65
N (0.5000, 0.5000, 0.0000)  4 Co 1.83
N (0.2500, 0.7500, 0.5000)  4 Co 1.83
Co (0.8750, 0.7154, 0.7500)  2 N 1.83
Co (0.4654, 0.1250, 0.2500)  2 N 1.83
Co (0.2846, 0.6250, 0.2500)  2 N 1.83
Co (0.3750, 0.5346, 0.7500)  2 N 1.83

Values from the calculation:
Its calculated total energy is -6.38 eV/atom. The value obtained for the energy above the lowest structure with this stoichiometry is 0.000 eV per formula unit. The crystal system is tetragonal. The calculation puts the uncorrected formation energy at 0.23 eV per atom.



[8]
Pm3PrRh4 | PBE | optimized geometry

Cell lengths 3.4487, 5.0490, 10.1047 Å; angles 90.00, 90.00, 90.00 degrees
Closest atoms and distances in Å follow each position.
Fractional coordinates of all 8 atoms:
Rh (0.0000, 0.0000, 0.0000)  4 Pr 3.06, 4 Pm 3.07
Rh (0.0000, 0.5000, 0.7458)  6 Pm 3.02-3.06, 2 Pr 3.09
Rh (0.0000, 0.0000, 0.5000)  8 Pm 3.05-3.06
Rh (0.0000, 0.5000, 0.2542)  6 Pm 3.02-3.06, 2 Pr 3.09
Pm (0.5000, 0.0000, 0.7486)  8 Rh 3.05-3.07
Pm (0.5000, 0.0000, 0.2514)  8 Rh 3.05-3.07
Pm (0.5000, 0.5000, 0.5000)  8 Rh 3.02-3.06
Pr (0.5000, 0.5000, 0.0000)  8 Rh 3.06-3.09

Values from the calculation:
Its calculated total energy is -6.71 eV/atom. The crystal system is orthorhombic.